1.
A plane-wave DFT calculation with PBE-GGA was carried out for an optimized crystal structure of Tl2InBi.

Cell and atoms, written as POSCAR:
```
Tl2InBi
1.0
7.908 0.000 0.000
0.000 7.908 0.000
0.000 0.000 7.908
Tl In Bi
8 4 4
Direct
0.250 0.250 0.250
0.250 0.250 0.750
0.250 0.750 0.250
0.250 0.750 0.750
0.750 0.250 0.250
0.750 0.250 0.750
0.750 0.750 0.250
0.750 0.750 0.750
0.000 0.000 0.000
0.000 0.500 0.500
0.500 0.000 0.500
0.500 0.500 0.000
0.000 0.000 0.500
0.000 0.500 0.000
0.500 0.000 0.000
0.500 0.500 0.500
```

Results
uncorrected energy = -2.817 eV/atom
relative energy among the computed polymorphs = 29 meV/atom
crystal system = cubic
density of states at the Fermi level = 1.80 states/eV/f.u.
theoretical density = 9.84 g/cm³
energy of formation from the pure elements = 20.7 meV/atom



2.
A plane-wave DFT calculation with PBE-GGA was carried out for an optimized crystal structure of Ge2BrCl8.

Cell and atoms, written as POSCAR:
```
Ge2BrCl8
1.0
6.591 -4.004 0.000
6.591 4.004 0.000
-2.657 0.000 8.496
Ge Br Cl
2 1 8
Direct
0.208 0.208 0.198
0.792 0.792 0.802
0.000 0.000 0.500
0.076 0.643 0.728
0.171 0.171 0.948
0.357 0.924 0.272
0.376 0.376 0.303
0.624 0.624 0.697
0.643 0.076 0.728
0.829 0.829 0.052
0.924 0.357 0.272
```

Results
uncorrected energy = -3.061 eV/atom
crystal system = monoclinic
density of states at the Fermi level = 2.56 states/eV/f.u.
theoretical density = 1.88 g/cm³
formation energy (no corrections) = -726 meV per atom



3.
A plane-wave DFT calculation with PBE-GGA was carried out for an optimized crystal structure of DyCuTe3.

Cell and atoms, written as POSCAR:
```
DyCuTe3
1.0
10.627 0.000 0.000
0.000 6.269 0.000
-2.215 0.000 8.913
Dy Cu Te
4 4 12
Direct
0.127 0.225 0.176
0.127 0.275 0.676
0.873 0.725 0.324
0.873 0.775 0.824
0.459 0.721 0.577
0.459 0.779 0.077
0.541 0.221 0.923
0.541 0.279 0.423
0.074 0.727 0.131
0.074 0.773 0.631
0.306 0.093 0.967
0.306 0.407 0.467
0.414 0.562 0.824
0.414 0.938 0.324
0.586 0.062 0.676
0.586 0.438 0.176
0.694 0.593 0.533
0.694 0.907 0.033
0.926 0.227 0.369
0.926 0.273 0.869
```

Results
uncorrected energy = -4.214 eV/atom
crystal system = monoclinic
density of states at the Fermi level = 2.53 states/eV/f.u.
theoretical density = 6.81 g/cm³
formation energy (no corrections) = -589 meV per atom



4.
A plane-wave DFT calculation with PBE-GGA was carried out for an optimized crystal structure of NbV2As3.

Cell and atoms, written as POSCAR:
```
NbV2As3
1.0
3.428 0.000 0.000
0.000 9.622 0.000
0.000 0.000 5.909
Nb V As
2 4 6
Direct
0.000 0.109 0.000
0.000 0.891 0.500
0.000 0.228 0.487
0.000 0.772 0.987
0.500 0.458 0.502
0.500 0.542 0.002
0.000 0.388 0.802
0.000 0.612 0.302
0.500 0.073 0.660
0.500 0.290 0.189
0.500 0.710 0.689
0.500 0.927 0.160
```

Results
uncorrected energy = -7.570 eV/atom
crystal system = orthorhombic
density of states at the Fermi level = 1.96 states/eV/f.u.
theoretical density = 7.15 g/cm³
energy of formation from the pure elements = -527.7 meV/atom



Q: Among the records above, which one has the lowest theoretical density?
A: Ge2BrCl8



Q: density of states at the Fermi level of number 1 (Tl2InBi)?
A: 1.80 states/eV/f.u.



Q: Which formula does entry 4 have?
A: NbV2As3